AcFeH6Pd | PBE | optimized geometry

```
AcFeH6Pd
1.0
-3.6232 -2.9865 -0.5841
-0.9760 -3.2161 3.3371
-2.7622 2.9525 2.0377
Ac Fe H Pd
1 1 6 1
direct
0.9998 0.0002 0.0000
0.3356 0.3296 0.5000
0.0361 0.4829 0.2588
0.4825 0.0343 0.7459
0.4809 0.4833 0.7419
0.0361 0.4829 0.7412
0.4809 0.4833 0.2581
0.4825 0.0343 0.2541
0.6653 0.6693 0.5000
```

Calculated values
Raw total energy ... -4.53 eV per atom
Spin magnetization ... 1.7 μB/cell